Entry 1:
Compound: PrNd5Er12
Source: Alexandria via LeMat-Bulk
Functional: PBE
Structure: optimized geometry

a b c (Å): 11.406 17.266 5.923
angles (deg): 90.00 90.01 90.00
Space group C2/m (No. 12)
Symmetry-distinct sites (fractional):
1 Pr 0.000 0.000 0.000
2 Nd 0.000 0.167 0.500
3 Nd 0.000 0.333 0.000
4 Nd 0.000 0.500 0.500
5 Er 0.177 0.500 0.949
6 Er 0.178 0.000 0.551
7 Er 0.178 0.167 0.947
8 Er 0.178 0.333 0.553

Output
DFT total energy ... -0.3332 Ry per atom
Total magnetic moment ... 0.0 Bohr magnetons per cell
Fermi-level density of states ... 1.672 states/eV/atom


Entry 2:
Compound: ScCdCuGe2
Source: Alexandria via LeMat-Bulk
Functional: PBE
Structure: optimized geometry

a b c (Å): 4.695 4.695 4.846
angles (deg): 90.00 90.00 90.00
Space group P4/mmm (No. 123)
Symmetry-distinct sites (fractional):
1 Sc 0.000 0.000 0.000
2 Cd 0.500 0.500 0.000
3 Cu 0.500 0.500 0.500
4 Ge 0.000 0.500 0.500

Output
DFT total energy ... -0.2856 Ry per atom
Total magnetic moment ... 0.0 Bohr magnetons per cell
Fermi-level density of states ... 0.718 states/eV/atom


Entry 3:
Compound: Cs2CdHgBi
Source: Alexandria via LeMat-Bulk
Functional: PBE
Structure: optimized geometry

a b c (Å): 7.637 7.637 5.848
angles (deg): 90.00 90.00 90.00
Space group P4/mmm (No. 123)
Symmetry-distinct sites (fractional):
1 Cs 0.000 0.500 0.000
2 Cd 0.000 0.000 0.500
3 Hg 0.500 0.500 0.500
4 Bi 0.000 0.000 0.000

Output
Total magnetic moment ... 0.0 Bohr magnetons per cell
Energy above the lowest structure with this stoichiometry ... 121 meV/atom
Fermi-level density of states ... 0.155 states/eV/atom


Entry 4:
Compound: HPt2Pb
Source: Alexandria via LeMat-Bulk
Functional: PBE
Structure: optimized geometry

a b c (Å): 3.5175 3.5175 17.5309
angles (deg): 90.00 90.00 120.00
Space group R3m (No. 160, hexagonal axes)
Symmetry-distinct sites (fractional):
1 H 0.0000 0.0000 0.0000
2 Pt 0.0000 0.0000 0.4365
3 Pt 0.0000 0.0000 0.6635
4 Pb 0.0000 0.0000 0.2108

Output
Total magnetic moment ... 0.0 Bohr magnetons per cell
Energy above the lowest structure with this stoichiometry ... 144 meV/atom
Fermi-level density of states ... 0.290 states/eV/atom


Entry 5:
Compound: RbPHRuC
Source: Alexandria via LeMat-Bulk
Functional: PBE
Structure: optimized geometry

a b c (Å): 3.105 4.921 6.193
angles (deg): 79.71 89.59 72.01
Space group P1 (No. 1)
Symmetry-distinct sites (fractional):
1 Rb 0.000 0.000 0.000
2 P 0.313 0.372 0.367
3 H 0.207 0.575 0.741
4 Ru 0.688 0.619 0.567
5 C 0.495 0.010 0.495

Output
Total magnetic moment ... 0.0 Bohr magnetons per cell
Energy above the lowest structure with this stoichiometry ... 178 meV/atom
Fermi-level density of states ... 0.514 states/eV/atom


Entry 6:
Compound: Sc2NbNi8
Source: Alexandria via LeMat-Bulk
Functional: PBE
Structure: optimized geometry

a b c (Å): 13.101 4.821 4.703
angles (deg): 90.00 96.97 90.00
Space group C2/m (No. 12)
Symmetry-distinct sites (fractional):
1 Sc 0.186 0.000 0.083
2 Nb 0.000 0.500 0.500
3 Ni 0.005 0.000 0.753
4 Ni 0.097 0.500 0.035
5 Ni 0.164 0.244 0.574

Output
DFT total energy ... -0.4798 Ry per atom
Total magnetic moment ... 0.0 Bohr magnetons per cell
Fermi-level density of states ... 0.758 states/eV/atom


> What is the formula in the fifth record?

RbPHRuC


> Look up the Fermi-level density of states of the third one.

0.155 states/eV/atom


> The highest Fermi-level density of states belongs to which entry?

PrNd5Er12


> Look up the Fermi-level density of states of the sixth one.

0.758 states/eV/atom